# LiMoAsO6, optimized geometry, DFT PBE+U
data_LiMoAsO6
_chemical_formula_sum 'Li2 Mo2 As2 O12'
_cell_length_a 5.061
_cell_length_b 5.061
_cell_length_c 9.550
_cell_angle_alpha 90.00
_cell_angle_beta 90.00
_cell_angle_gamma 120.00
_symmetry_space_group_name_H-M 'P 1'
_symmetry_Int_Tables_number 1
_symmetry_space_group_name_Hall 'P 1'
loop_
_atom_site_label
_atom_site_type_symbol
_atom_site_fract_x
_atom_site_fract_y
_atom_site_fract_z
_atom_site_occupancy
Li1 Li 0.000 0.000 0.000 1
Li2 Li 0.000 0.000 0.500 1
Mo1 Mo 0.333 0.667 0.250 1
Mo2 Mo 0.667 0.333 0.750 1
As1 As 0.333 0.667 0.750 1
As2 As 0.667 0.333 0.250 1
O1 O 0.013 0.379 0.640 1
O2 O 0.013 0.634 0.860 1
O3 O 0.366 0.379 0.860 1
O4 O 0.366 0.987 0.640 1
O5 O 0.379 0.013 0.140 1
O6 O 0.379 0.366 0.360 1
O7 O 0.621 0.634 0.640 1
O8 O 0.621 0.987 0.860 1
O9 O 0.634 0.013 0.360 1
O10 O 0.634 0.621 0.140 1
O11 O 0.987 0.366 0.140 1
O12 O 0.987 0.621 0.360 1
# distance to the lowest polymorph of the same formula	93.4	meV/atom
# space-group type	P-31c